1.
A plane-wave DFT calculation with PBE was carried out for a geometry-optimized La2CrPt structure.

The space group is Imm2 (No. 44) and the conventional cell measures 3.744, 4.686 and 11.534 Å, with angles of 90.00, 90.00 and 90.00 degrees. Symmetry generates all atoms from La at (0.000, 0.000, 0.000), La at (0.000, 0.500, 0.214), Cr at (0.000, 0.000, 0.425) and Pt at (0.000, 0.500, 0.762).

As for the density of states at the Fermi level: 0.98 states/eV per atom. Its formation energy is -0.264 eV per atom. Its offset from the most stable computed form is 0.0758 eV per atom.

2.
A plane-wave DFT calculation with PBE was carried out for a geometry-optimized SrAg2PdBr8 structure.

The space group is P2/m (No. 10) and the conventional cell measures 7.029, 8.180 and 7.048 Å, with angles of 90.00, 99.83 and 90.00 degrees. Symmetry generates all atoms from Sr at (0.000, 0.000, 0.000), Ag at (0.500, 0.257, 0.500), Pd at (0.000, 0.500, 0.000), Br at (0.193, 0.292, 0.851), Br at (0.259, 0.000, 0.397) and Br at (0.285, 0.500, 0.325).

As for the density of states at the Fermi level: 0.46 states/eV per atom. Its formation energy (no corrections) is -0.692 eV per atom.

3.
A plane-wave DFT calculation with PBE was carried out for a geometry-optimized BaGe2Au3 structure.

The space group is C2/m (No. 12) and the conventional cell measures 19.612, 4.646 and 6.674 Å, with angles of 90.00, 95.93 and 90.00 degrees. Symmetry generates all atoms from Ba at (0.098, 0.000, 0.319), Ge at (0.030, 0.500, 0.838), Ge at (0.226, 0.000, 0.786), Au at (0.086, 0.000, 0.816), Au at (0.164, 0.500, 0.983) and Au at (0.226, 0.500, 0.594).

As for the density of states at the Fermi level: 0.37 states/eV per atom. Its formation energy is -0.360 eV per atom.

4.
A plane-wave DFT calculation with PBE was carried out for a geometry-optimized HgPtN2O structure.

The space group is P4/mmm (No. 123) and the conventional cell measures 3.773, 3.773 and 4.954 Å, with angles of 90.00, 90.00 and 90.00 degrees. Symmetry generates all atoms from Hg at (0.000, 0.000, 0.000), Pt at (0.500, 0.500, 0.500), N at (0.000, 0.500, 0.500) and O at (0.500, 0.500, 0.000).

As for the density of states at the Fermi level: 0.42 states/eV per atom. Its formation energy (no corrections) is 1.211 eV per atom.

5.
A plane-wave DFT calculation with PBE was carried out for a geometry-optimized OsPb structure.

The space group is I4/m (No. 87) and the conventional cell measures 11.665, 11.665 and 3.001 Å, with angles of 90.00, 90.00 and 90.00 degrees. Symmetry generates all atoms from Os at (0.160, 0.238, 0.000) and Pb at (0.041, 0.760, 0.500).

As for the density of states at the Fermi level: 0.56 states/eV per atom. Its formation energy is 0.973 eV per atom.

6.
A plane-wave DFT calculation with PBE was carried out for a geometry-optimized Li2LaScSe4 structure.

The space group is P2/m (No. 10) and the conventional cell measures 6.881, 4.090 and 7.103 Å, with angles of 90.00, 110.10 and 90.00 degrees. Symmetry generates all atoms from Li at (0.000, 0.000, 0.000), Li at (0.000, 0.500, 0.500), La at (0.500, 0.000, 0.500), Sc at (0.500, 0.500, 0.000), Se at (0.244, 0.500, 0.224) and Se at (0.254, 0.000, 0.771).

Its formation energy (no corrections) is -1.629 eV per atom.

no.,energy (eV for the cell shown)
1,-53.15
2,-34.27
3,-92.60
4,-21.89
5,-103.93
6,-42.05